1.
Sr4CeTh3Sb8: optimized geometry, PBE.

a = 9.2456 Å, b = 9.3174 Å, c = 9.2456 Å
α = 119.75°, β = 120.00°, γ = 90.00°
Fractional coordinates of all 16 atoms:
Sb  0.7584  0.2720  0.5168
Sb  0.2563  0.2697  0.5127
Sr  0.0000  0.0000  0.5000
Sb  0.7450  0.7271  0.9862
Th  0.0000  0.5000  0.5000
Th  0.5000  0.5000  0.5000
Sr  0.5000  0.0000  0.0000
Sr  0.0000  0.0000  0.0000
Sb  0.7588  0.2729  0.0138
Sb  0.7437  0.7303  0.4873
Sb  0.2550  0.2729  0.0138
Sr  0.5000  0.0000  0.5000
Sb  0.2416  0.7280  0.4832
Sb  0.2412  0.7271  0.9862
Th  0.5000  0.5000  0.0000
Ce  0.0000  0.5000  0.0000

Summary:
The calculation puts the calculated total energy at -5.261 eV per atom. The space group is R-3m. For the formation energy (no corrections), the calculation gives -1.018 eV/atom.

---

2.
RbLi2Zr3O8: optimized geometry, PBE.

a = 6.5532 Å, b = 6.5532 Å, c = 7.6460 Å
α = 64.62°, β = 64.62°, γ = 60.00°
Fractional coordinates of all 14 atoms:
O  0.7126  0.2242  0.8390
Li  0.0596  0.0596  0.8213
O  0.7474  0.7474  0.1701
Li  0.5522  0.5522  0.3434
Zr  0.5035  0.0096  0.9834
O  0.2242  0.2242  0.8390
Zr  0.0096  0.5035  0.9834
Zr  0.5035  0.5035  0.9834
O  0.2242  0.7126  0.8390
Rb  0.8630  0.8630  0.4111
O  0.2852  0.2852  0.1443
O  0.3351  0.7474  0.1701
O  0.7253  0.7253  0.8242
O  0.7474  0.3351  0.1701

Summary:
The calculation puts the calculated total energy at -7.594 eV per atom. The space group is R3m. For the formation energy (no corrections), the calculation gives -2.587 eV/atom.

---

3.
Nd2SmNpSb4: optimized geometry, PBE.

a = 4.4774 Å, b = 7.7596 Å, c = 7.7598 Å
α = 109.33°, β = 90.00°, γ = 90.00°
Fractional coordinates of all 8 atoms:
Sb  0.5000  0.7487  0.7558
Sm  0.0000  0.0000  0.0000
Sb  0.0000  0.7454  0.2431
Sb  0.5000  0.2513  0.2442
Nd  0.5000  0.0000  0.5000
Np  0.5000  0.5000  0.0000
Sb  0.0000  0.2546  0.7569
Nd  0.0000  0.5000  0.5000

Summary:
The calculation puts the calculated total energy at -6.390 eV per atom. The space group is P2/m. For the formation energy (no corrections), the calculation gives -0.930 eV/atom.

---

4.
KCa2Cr: optimized geometry, PBE.

a = 12.0460 Å, b = 12.0460 Å, c = 12.0460 Å
α = 18.94°, β = 18.94°, γ = 18.94°
Fractional coordinates of all 4 atoms:
Cr  0.2500  0.2500  0.2500
Ca  0.5215  0.5215  0.5215
K  0.7500  0.7500  0.7500
Ca  0.9785  0.9785  0.9785

Summary:
The calculation puts the calculated total energy at -3.142 eV per atom. The space group is R-3m. The formation energy is 0.539 eV/atom. The value obtained for the energy above the most stable polymorph in this dataset is 111 meV/atom.

---

5.
As3IBr: optimized geometry, PBE.

a = 5.4363 Å, b = 5.4363 Å, c = 5.4363 Å
α = 90.00°, β = 90.00°, γ = 90.00°
Fractional coordinates of all 5 atoms:
I  0.0000  0.0000  0.0000
Br  0.5000  0.5000  0.5000
As  0.0000  0.5000  0.0000
As  0.0000  0.0000  0.5000
As  0.5000  0.0000  0.0000

Summary:
The calculation puts the calculated total energy at -2.158 eV per atom. The space group is Pm-3m. For the formation energy (no corrections), the calculation gives 1.276 eV/atom. The value obtained for the energy above the most stable polymorph in this dataset is 75 meV/atom.

---

6.
HfZrCuMo2: optimized geometry, PBE.

a = 4.7563 Å, b = 5.1050 Å, c = 4.7563 Å
α = 90.00°, β = 90.00°, γ = 90.00°
Fractional coordinates of all 5 atoms:
Mo  0.5000  0.0000  0.0000
Zr  0.0000  0.0000  0.0000
Cu  0.5000  0.5000  0.5000
Mo  0.0000  0.0000  0.5000
Hf  0.0000  0.5000  0.0000

Summary:
The calculation puts the calculated total energy at -6.925 eV per atom. The space group is P4/mmm. The formation energy is 1.927 eV/atom.

---

7.
Nd4Y3Ho3: optimized geometry, PBE.

a = 3.8183 Å, b = 9.3452 Å, c = 9.3452 Å
α = 90.02°, β = 90.00°, γ = 90.00°
Fractional coordinates of all 10 atoms:
Ho  0.5000  0.8319  0.1681
Y  0.0000  0.9999  0.5000
Ho  0.5000  0.3323  0.3317
Y  0.0000  0.5000  0.0001
Y  0.5000  0.1683  0.8317
Nd  0.0000  0.3701  0.6299
Nd  0.0000  0.8674  0.8696
Ho  0.5000  0.6683  0.6677
Nd  0.0000  0.6315  0.3685
Nd  0.0000  0.1304  0.1326

Summary:
The calculation puts the calculated total energy at -5.129 eV per atom. The space group is Amm2. The formation energy is 0.091 eV/atom.

---

8.
CaTb4Pm2Pr: optimized geometry, PBE.

a = 9.6622 Å, b = 9.6621 Å, c = 12.0212 Å
α = 128.46°, β = 128.46°, γ = 88.39°
Fractional coordinates of all 16 atoms:
Pr  0.0000  0.5000  0.0000
Tb  0.7479  0.7488  0.4851
Pm  0.5000  0.0000  0.0000
Ca  0.0000  0.0000  0.0000
Tb  0.2485  0.7527  0.5020
Pm  0.5000  0.5000  0.0000
Tb  0.7515  0.2473  0.4980
Ca  0.5000  0.5000  0.5000
Pr  0.0000  0.5000  0.5000
Tb  0.2527  0.7485  0.0020
Pm  0.5000  0.0000  0.5000
Pm  0.0000  0.0000  0.5000
Tb  0.2488  0.2479  0.9851
Tb  0.2521  0.2512  0.5149
Tb  0.7473  0.2515  0.9980
Tb  0.7512  0.7521  0.0149

Summary:
The calculation puts the calculated total energy at -3.942 eV per atom. The space group is C2/c. The formation energy is 0.408 eV/atom.

---

9.
K3ErPu3Se8: optimized geometry, PBE.

a = 8.4381 Å, b = 8.4476 Å, c = 9.1443 Å
α = 117.45°, β = 90.00°, γ = 119.95°
Fractional coordinates of all 15 atoms:
Pu  0.0000  0.5000  0.5000
Se  0.7678  0.0313  0.3002
K  0.5000  0.5000  0.0000
K  0.0000  0.0000  0.0000
Se  0.2322  0.9687  0.6998
Se  0.2636  0.0314  0.3003
K  0.0000  0.5000  0.0000
Pu  0.5000  0.0000  0.5000
Er  0.0000  0.0000  0.5000
Se  0.7354  0.4709  0.7042
Pu  0.5000  0.5000  0.5000
Se  0.7680  0.5360  0.3022
Se  0.7364  0.9686  0.6997
Se  0.2320  0.4640  0.6978
Se  0.2646  0.5291  0.2958

Summary:
The calculation puts the calculated total energy at -6.731 eV per atom. The space group is C2/m. For the formation energy (no corrections), the calculation gives -1.482 eV/atom.

---

10.
LiTiAs2O8: optimized geometry, PBE.

a = 5.5902 Å, b = 5.5902 Å, c = 5.5902 Å
α = 107.44°, β = 107.44°, γ = 113.61°
Fractional coordinates of all 12 atoms:
Ti  0.2500  0.7500  0.5000
O  0.8767  0.6731  0.2036
As  0.7500  0.2500  0.5000
As  0.5000  0.5000  0.0000
Li  0.0000  0.0000  0.0000
O  0.7466  0.0568  0.6898
O  0.9432  0.2534  0.3102
O  0.3269  0.1233  0.7964
O  0.4695  0.6731  0.7964
O  0.9432  0.6330  0.6898
O  0.3670  0.0568  0.3102
O  0.3269  0.5305  0.2036

Summary:
The calculation puts the calculated total energy at -6.395 eV per atom. The space group is I-4m2. For the formation energy (no corrections), the calculation gives -1.498 eV/atom.

---

11.
Y2PaAg: optimized geometry, PBE.

a = 3.2517 Å, b = 3.2517 Å, c = 11.6710 Å
α = 81.99°, β = 81.99°, γ = 60.00°
Fractional coordinates of all 4 atoms:
Y  0.9067  0.9067  0.2798
Pa  0.0000  0.0000  0.0000
Ag  0.5000  0.5000  0.5000
Y  0.0933  0.0933  0.7202

Summary:
The calculation puts the calculated total energy at -6.040 eV per atom. The space group is R-3m. The formation energy is 0.278 eV/atom. The value obtained for the energy above the most stable polymorph in this dataset is 303 meV/atom.

---

12.
SrDy2TcO8: optimized geometry, PBE.

a = 5.1668 Å, b = 4.3569 Å, c = 6.9770 Å
α = 73.39°, β = 89.50°, γ = 87.74°
Fractional coordinates of all 12 atoms:
O  0.7762  0.2225  0.1265
O  0.7001  0.8290  0.9069
O  0.5013  0.7625  0.4927
O  0.2999  0.1710  0.0931
O  0.2238  0.7775  0.8735
O  0.0242  0.6552  0.2470
O  0.4987  0.2375  0.5073
Dy  0.5173  0.3943  0.7867
Dy  0.4827  0.6057  0.2133
Tc  0.0000  0.0000  0.0000
O  0.9758  0.3448  0.7530
Sr  0.0000  0.0000  0.5000

Summary:
The calculation puts the calculated total energy at -7.427 eV per atom. The space group is P-1. For the formation energy (no corrections), the calculation gives -2.351 eV/atom.

---

13.
Pa2Ge2Se: optimized geometry, PBE.

a = 4.2789 Å, b = 4.2789 Å, c = 14.6084 Å
α = 90.00°, β = 90.00°, γ = 120.00°
Fractional coordinates of all 10 atoms:
Ge  0.6667  0.3333  0.0058
Ge  0.3333  0.6667  0.9942
Pa  0.0000  0.0000  0.8754
Se  0.6667  0.3333  0.7500
Ge  0.6667  0.3333  0.4942
Ge  0.3333  0.6667  0.5058
Pa  0.0000  0.0000  0.1246
Pa  0.0000  0.0000  0.3754
Se  0.3333  0.6667  0.2500
Pa  0.0000  0.0000  0.6246

Summary:
The calculation puts the calculated total energy at -6.898 eV per atom. The space group is P6_3/mmc. For the formation energy (no corrections), the calculation gives -0.556 eV/atom.

---

14.
La2Sn4Rh5: optimized geometry, PBE.

a = 5.9601 Å, b = 5.8758 Å, c = 8.5300 Å
α = 79.79°, β = 69.55°, γ = 59.52°
Fractional coordinates of all 11 atoms:
La  0.8772  0.0000  0.2456
Rh  0.5000  0.5000  0.0000
Rh  0.7500  0.5000  0.5000
Rh  0.2500  0.5000  0.5000
Rh  0.5000  0.0000  0.0000
Sn  0.4698  0.3193  0.7412
La  0.1228  0.0000  0.7544
Sn  0.5302  0.6807  0.2588
Rh  0.0000  0.5000  0.0000
Sn  0.2110  0.3193  0.2588
Sn  0.7890  0.6807  0.7412

Summary:
The calculation puts the calculated total energy at -6.336 eV per atom. The space group is Fmmm. The formation energy is -0.643 eV/atom.

---

15.
MnCoAg2: optimized geometry, PBE.

a = 4.8396 Å, b = 4.8396 Å, c = 2.8201 Å
α = 90.00°, β = 90.00°, γ = 111.23°
Fractional coordinates of all 4 atoms:
Co  0.5000  0.0000  0.5000
Ag  0.5000  0.5000  0.0000
Ag  0.0000  0.0000  0.0000
Mn  0.0000  0.5000  0.5000

Summary:
The calculation puts the calculated total energy at -5.116 eV per atom. The space group is Cmmm. The formation energy is 0.378 eV/atom. The value obtained for the energy above the most stable polymorph in this dataset is 139 meV/atom.

---

16.
NbReSb2I: optimized geometry, PBE.

a = 5.0725 Å, b = 5.0725 Å, c = 5.7470 Å
α = 90.00°, β = 90.00°, γ = 90.00°
Fractional coordinates of all 5 atoms:
Sb  0.5000  0.0000  0.0000
Re  0.0000  0.0000  0.0000
I  0.0000  0.0000  0.5000
Sb  0.0000  0.5000  0.0000
Nb  0.5000  0.5000  0.5000

Summary:
The calculation puts the calculated total energy at -5.195 eV per atom. The space group is P4/mmm. For the formation energy (no corrections), the calculation gives 1.267 eV/atom. The value obtained for the energy above the most stable polymorph in this dataset is 0 meV/atom.

---

17.
Tm4RhAu: optimized geometry, PBE.

a = 4.7382 Å, b = 8.1136 Å, c = 15.4814 Å
α = 90.00°, β = 90.00°, γ = 90.00°
Fractional coordinates of all 24 atoms:
Au  0.2500  0.2652  0.9400
Rh  0.2500  0.8039  0.3153
Rh  0.2500  0.3039  0.1847
Tm  0.2500  0.1511  0.5649
Tm  0.2500  0.0285  0.0790
Tm  0.2500  0.1293  0.3373
Tm  0.7500  0.8489  0.4351
Tm  0.7500  0.9715  0.9210
Tm  0.2500  0.5862  0.7243
Tm  0.2500  0.6293  0.1627
Tm  0.7500  0.4138  0.2757
Au  0.2500  0.7652  0.5600
Tm  0.2500  0.0862  0.7757
Tm  0.7500  0.4715  0.5790
Tm  0.7500  0.3489  0.0649
Tm  0.2500  0.6511  0.9351
Tm  0.7500  0.9138  0.2243
Tm  0.7500  0.3707  0.8373
Rh  0.7500  0.6961  0.8153
Au  0.7500  0.7348  0.0600
Au  0.7500  0.2348  0.4400
Tm  0.2500  0.5285  0.4210
Rh  0.7500  0.1961  0.6847
Tm  0.7500  0.8707  0.6627

Summary:
The calculation puts the calculated total energy at -5.383 eV per atom. The space group is Pnma. The formation energy is -0.630 eV/atom. The value obtained for the energy above the most stable polymorph in this dataset is 0 meV/atom.

---

18.
MgScB: optimized geometry, PBE.

a = 4.5568 Å, b = 7.7489 Å, c = 3.1487 Å
α = 101.34°, β = 90.00°, γ = 90.00°
Fractional coordinates of all 6 atoms:
Sc  0.4303  0.1036  0.7418
Sc  0.4303  0.5454  0.9491
Mg  0.9302  0.8216  0.3573
B  0.4302  0.7794  0.5742
Mg  0.9304  0.3248  0.3454
B  0.4302  0.8695  0.1177

Summary:
The calculation puts the calculated total energy at -4.972 eV per atom. The space group is Pm. The formation energy is -0.104 eV/atom. The value obtained for the energy above the most stable polymorph in this dataset is 321 meV/atom.

---

19.
NaAcDy2: optimized geometry, PBE.

a = 3.6450 Å, b = 3.6450 Å, c = 13.1308 Å
α = 82.02°, β = 82.02°, γ = 60.00°
Fractional coordinates of all 4 atoms:
Dy  0.0909  0.0909  0.7273
Na  0.0000  0.0000  0.0000
Dy  0.9091  0.9091  0.2727
Ac  0.5000  0.5000  0.5000

Summary:
The calculation puts the calculated total energy at -3.418 eV per atom. The space group is R-3m. The formation energy is 0.240 eV/atom.

---

20.
In2HgW: optimized geometry, PBE.

a = 3.1747 Å, b = 4.1780 Å, c = 6.2145 Å
α = 90.00°, β = 90.00°, γ = 90.00°
Fractional coordinates of all 4 atoms:
Hg  0.5000  0.5000  0.7500
W  0.5000  0.5000  0.2500
In  0.0000  0.0000  0.0153
In  0.0000  0.0000  0.4847

Summary:
The calculation puts the calculated total energy at -4.082 eV per atom. The space group is Pmmm. The formation energy is 0.601 eV/atom.

---

21.
CaAlOs3: optimized geometry, PBE.

a = 4.5567 Å, b = 4.5567 Å, c = 4.5567 Å
α = 90.00°, β = 90.00°, γ = 90.00°
Fractional coordinates of all 5 atoms:
Al  0.0000  0.0000  0.0000
Os  0.5000  0.0000  0.0000
Os  0.0000  0.0000  0.5000
Os  0.0000  0.5000  0.0000
Ca  0.5000  0.5000  0.5000

Summary:
The calculation puts the calculated total energy at -6.707 eV per atom. The space group is Pm-3m. The formation energy is 1.179 eV/atom. The value obtained for the energy above the most stable polymorph in this dataset is 0 meV/atom.

---

22.
ScCoRe2: optimized geometry, PBE.

a = 4.5377 Å, b = 2.7332 Å, c = 4.9501 Å
α = 80.67°, β = 90.00°, γ = 90.00°
Fractional coordinates of all 4 atoms:
Sc  0.5000  0.2500  0.2500
Re  0.0000  0.9659  0.9993
Co  0.5000  0.7500  0.7500
Re  0.0000  0.5341  0.5007

Summary:
The calculation puts the calculated total energy at -9.460 eV per atom. The space group is P2/m. The formation energy is 0.124 eV/atom. The value obtained for the energy above the most stable polymorph in this dataset is 200 meV/atom.

---

23.
LaP3Pd: optimized geometry, PBE.

a = 4.7315 Å, b = 4.7315 Å, c = 4.7315 Å
α = 90.00°, β = 90.00°, γ = 90.00°
Fractional coordinates of all 5 atoms:
P  0.5000  0.0000  0.0000
P  0.0000  0.0000  0.5000
P  0.0000  0.5000  0.0000
Pd  0.0000  0.0000  0.0000
La  0.5000  0.5000  0.5000

Summary:
The calculation puts the calculated total energy at -5.501 eV per atom. The space group is Pm-3m. The formation energy is -0.231 eV/atom. The value obtained for the energy above the most stable polymorph in this dataset is 0 meV/atom.